VASP calculation (PBE) on a relaxed structure of Tb2DyCdAu4.

Cell lengths 5.0206, 5.0206, 24.8934 Å; angles 90.00, 90.00, 120.00 degrees
Space group R-3m (No. 166, hexagonal axes)
One atom of each set of equivalent atoms:
Tb1 0.0000 0.0000 0.2430 [6 per cell]
Dy1 0.0000 0.0000 0.0000 [3 per cell]
Cd1 0.0000 0.0000 0.5000 [3 per cell]
Au1 0.0000 0.0000 0.1202 [6 per cell]
Au2 0.0000 0.0000 0.3663 [6 per cell]

Values from the calculation:
- calculated density (g/cm³) = 12.66
- uncorrected energy (eV/atom) = -4.26
- E_form (meV per atom) = -779
- DOS at the Fermi energy (states/eV/atom) = 0.702